PBE NdTaH4, relaxed; calculated density = 9.2 g/cm3; space-group type = P4/mmm, No. 123; calculated total energy = -5.329 eV/atom
1.0
3.293 0.000 0.000
0.000 3.293 0.000
0.000 0.000 5.460
Nd Ta H
1 1 4
Cartesian
0.000 0.000 0.000
1.647 1.647 2.730
0.000 1.647 1.659
0.000 1.647 3.801
1.647 0.000 1.659
1.647 0.000 3.801


PBE NdTmH4, relaxed; calculated density = 7.3 g/cm3; space-group type = P4/mmm, No. 123; calculated total energy = -4.445 eV/atom
1.0
3.690 0.000 0.000
0.000 3.690 0.000
0.000 0.000 5.319
Nd Tm H
1 1 4
Cartesian
0.000 0.000 0.000
1.845 1.845 2.660
0.000 1.845 1.444
0.000 1.845 3.876
1.845 0.000 1.444
1.845 0.000 3.876


PBE NdYH4, relaxed; calculated density = 5.2 g/cm3; space-group type = P4/mmm, No. 123; calculated total energy = -4.787 eV/atom
1.0
3.747 0.000 0.000
0.000 3.747 0.000
0.000 0.000 5.345
Nd Y H
1 1 4
Cartesian
0.000 0.000 0.000
1.873 1.873 2.672
0.000 1.873 1.414
0.000 1.873 3.931
1.873 0.000 1.414
1.873 0.000 3.931


PBE Ni3H, relaxed; polymorph energy (0 for the lowest one) = 0.0000 eV/atom; calculated density = 7.8 g/cm3; space-group type = P6_3/mmc, No. 194
1.0
4.880 0.000 0.000
-2.440 4.226 0.000
0.000 0.000 3.671
Ni H
6 2
Cartesian
0.000 1.467 0.918
-1.170 3.493 0.918
1.270 0.733 2.753
1.170 3.493 0.918
3.610 0.733 2.753
2.440 2.759 2.753
0.000 2.817 2.753
2.440 1.409 0.918


PBE Ni3H, relaxed; polymorph energy (0 for the lowest one) = 0.0248 eV/atom; calculated density = 7.7 g/cm3; space-group type = Fm-3m, No. 225
1.0
0.000 2.670 2.670
2.670 0.000 2.670
2.670 2.670 0.000
Ni H
3 1
Cartesian
0.000 0.000 0.000
1.335 1.335 1.335
4.005 4.005 4.005
2.670 2.670 2.670


PBE Ni3H, relaxed; polymorph energy (0 for the lowest one) = 0.0033 eV/atom; calculated density = 7.7 g/cm3; space-group type = I4/mmm, No. 139
1.0
-1.720 1.720 3.205
1.720 -1.720 3.205
1.720 1.720 -3.205
Ni H
3 1
Cartesian
0.000 0.000 0.000
1.720 0.000 1.603
0.000 1.720 1.603
0.000 0.000 3.205


PBE Ni2H3, relaxed; calculated density = 7.0 g/cm3; space-group type = P-1, No. 2; calculated total energy = -4.191 eV/atom
1.0
4.997 0.000 0.000
-2.383 4.464 0.000
-0.167 -0.375 5.099
Ni H
8 12
Cartesian
0.289 0.771 1.585
-0.746 3.517 0.241
-0.324 3.064 2.777
0.711 1.110 4.124
1.736 2.979 0.976
2.771 1.026 2.323
3.193 0.573 4.858
2.158 3.319 3.514
0.000 0.000 0.000
-1.903 3.511 1.951
-1.404 2.477 3.832
0.320 2.157 0.461
1.985 0.177 3.528
1.898 0.781 0.800
1.223 2.045 2.550
0.549 3.308 4.299
0.462 3.913 1.571
2.127 1.932 4.638
3.851 1.612 1.267
4.350 0.579 3.148


PBE NiH2, relaxed; calculated density = 2.3 g/cm3; space-group type = Fd-3m, No. 227; calculated total energy = -3.563 eV/atom
1.0
0.000 3.507 3.507
3.507 0.000 3.507
3.507 3.507 0.000
Ni H
2 4
Cartesian
0.877 0.877 0.877
6.137 6.137 6.137
0.000 0.000 0.000
1.753 1.753 0.000
1.753 0.000 1.753
0.000 1.753 1.753


PBE Ni2H3, relaxed; calculated density = 6.9 g/cm3; space-group type = P-3m1, No. 164; calculated total energy = -4.246 eV/atom
1.0
2.717 0.000 0.000
-1.358 2.353 0.000
0.000 0.000 4.509
Ni H
2 3
Cartesian
0.000 1.569 1.184
1.358 0.784 3.325
0.000 0.000 2.255
0.000 1.569 3.957
1.358 0.784 0.552


PBE Ni2H3, relaxed; calculated density = 7.1 g/cm3; space-group type = C2/m, No. 12; calculated total energy = -4.231 eV/atom
1.0
4.532 -1.305 0.000
4.532 1.305 0.000
-4.291 0.000 4.776
Ni H
4 6
Cartesian
-0.903 0.000 1.716
1.481 0.000 0.812
3.291 0.000 3.965
5.676 0.000 3.060
0.000 0.000 0.000
-0.220 0.000 3.262
3.115 0.000 0.407
2.386 0.000 2.388
1.658 0.000 4.370
4.993 0.000 1.514


PBE Ni3H, relaxed; polymorph energy (0 for the lowest one) = 0.0650 eV/atom; calculated density = 7.6 g/cm3; space-group type = Pm-3m, No. 221
1.0
3.378 0.000 0.000
0.000 3.378 0.000
0.000 0.000 3.378
Ni H
3 1
Cartesian
0.000 0.000 1.689
0.000 1.689 0.000
1.689 0.000 0.000
1.689 1.689 1.689


PBE NiH2, relaxed; calculated density = 4.7 g/cm3; space-group type = R-3m, No. 166; calculated total energy = -4.086 eV/atom
1.0
1.259 0.727 3.897
-1.259 0.727 3.897
0.000 -1.454 3.897
Ni H
1 2
Cartesian
0.000 0.000 0.000
0.000 0.000 3.051
0.000 0.000 8.639